First-principles (PBE-GGA) data for a geometry-optimized Cd6Ag12Ge structure, as listed in Alexandria.

Properties
Mass density   9.175 g/cm3
D(E_F)   0.276 states/eV per atom
Formation enthalpy at 0 K   0.037 eV/atom
Total moment   0.0000 μB per atom

Cell: 10.2836 10.2836 12.1031 Å, 90.00 90.00 120.00°
Space group R-3 (No. 148, hexagonal axes)
Symmetry-distinct sites (fractional):
Cd1 0.0173 0.5920 0.2069
Ag1 0.0375 0.8560 0.3129
Ag2 0.0568 0.2004 0.9090
Ge1 0.0000 0.0000 0.5000

---

First-principles (PBE-GGA) data for a geometry-optimized La3TeCl2O6 structure, as listed in Alexandria.

Properties
Mass density   4.957 g/cm3
D(E_F)   0.175 states/eV per atom
Total moment   0.0000 μB per atom
Formation energy from raw total energies   -2.223 eV/atom

Cell: 12.333 6.897 5.675 Å, 90.00 99.19 90.00°
Space group C2/m (No. 12)
Symmetry-distinct sites (fractional):
La1 0.000 0.000 0.000
La2 0.250 0.250 0.500
Te1 0.000 0.500 0.500
Cl1 0.210 0.000 0.873
O1 0.060 0.263 0.302
O2 0.159 0.500 0.665